<P>
The following is a DFT calculation (PBE) of a relaxed structure of In2CuAg.

```
data_In2CuAg
_chemical_formula_sum 'In2 Cu1 Ag1'
_cell_length_a 3.1314
_cell_length_b 3.1314
_cell_length_c 7.9826
_cell_angle_alpha 90.00
_cell_angle_beta 90.00
_cell_angle_gamma 90.00
_symmetry_space_group_name_H-M 'P 4/m m m'
_symmetry_Int_Tables_number 123
_symmetry_space_group_name_Hall '-P 4 2'
loop_
_atom_site_label
_atom_site_fract_x
_atom_site_fract_y
_atom_site_fract_z
_atom_site_occupancy
In1 0.0000 0.0000 0.2256 1
Cu1 0.5000 0.5000 0.0000 1
Ag1 0.5000 0.5000 0.5000 1
```

Spin magnetization: 0.0000 μB per atom


<Q>
The following is a DFT calculation (PBE) of a relaxed structure of In2CuAg.

```
data_In2CuAg
_chemical_formula_sum 'In2 Cu1 Ag1'
_cell_length_a 3.1665
_cell_length_b 3.7457
_cell_length_c 6.6358
_cell_angle_alpha 90.00
_cell_angle_beta 90.38
_cell_angle_gamma 90.00
_symmetry_space_group_name_H-M 'P 1 2/m 1'
_symmetry_Int_Tables_number 10
loop_
_symmetry_equiv_pos_as_xyz
'x,y,z'
'-x,-y,-z'
'-x,y,-z'
'x,-y,z'
loop_
_atom_site_label
_atom_site_fract_x
_atom_site_fract_y
_atom_site_fract_z
_atom_site_occupancy
In1 0.0013 0.0000 0.2664 1
Cu1 0.5000 0.5000 0.5000 1
Ag1 0.5000 0.5000 0.0000 1
```

Spin magnetization: 0.0000 μB per atom


Tell me which of them is the least stable. Sure, it is <Q>.


<P>
The following is a DFT calculation (PBE) of a relaxed structure of In2CuAg.

```
data_In2CuAg
_chemical_formula_sum 'In4 Cu2 Ag2'
_cell_length_a 3.0445
_cell_length_b 4.4906
_cell_length_c 11.9499
_cell_angle_alpha 90.00
_cell_angle_beta 90.00
_cell_angle_gamma 90.00
_symmetry_space_group_name_H-M 'I m m 2'
_symmetry_Int_Tables_number 44
loop_
_symmetry_equiv_pos_as_xyz
'x,y,z'
'-x,-y,z'
'-x,y,z'
'x,-y,z'
'x+1/2,y+1/2,z+1/2'
'-x+1/2,-y+1/2,z+1/2'
'-x+1/2,y+1/2,z+1/2'
'x+1/2,-y+1/2,z+1/2'
loop_
_atom_site_label
_atom_site_fract_x
_atom_site_fract_y
_atom_site_fract_z
_atom_site_occupancy
In1 0.0000 0.0000 0.0000 1
In2 0.0000 0.5000 0.2185 1
Cu1 0.0000 0.0000 0.5186 1
Ag1 0.0000 0.5000 0.8218 1
```

Spin magnetization: 0.0000 μB per atom


<Q>
The following is a DFT calculation (PBE) of a relaxed structure of In2CuAg.

```
data_In2CuAg
_chemical_formula_sum 'In4 Cu2 Ag2'
_cell_length_a 4.4679
_cell_length_b 4.4679
_cell_length_c 7.8855
_cell_angle_alpha 90.00
_cell_angle_beta 90.00
_cell_angle_gamma 90.00
_symmetry_space_group_name_H-M 'I 4/m m m'
_symmetry_Int_Tables_number 139
_symmetry_space_group_name_Hall '-I 4 2'
loop_
_atom_site_label
_atom_site_fract_x
_atom_site_fract_y
_atom_site_fract_z
_atom_site_occupancy
In1 0.0000 0.5000 0.2500 1
Cu1 0.0000 0.0000 0.0000 1
Ag1 0.0000 0.0000 0.5000 1
```

Spin magnetization: 0.0000 μB per atom


<R>
The following is a DFT calculation (PBE) of a relaxed structure of In2CuAg.

```
data_In2CuAg
_chemical_formula_sum 'In4 Cu2 Ag2'
_cell_length_a 6.3069
_cell_length_b 7.8021
_cell_length_c 3.2039
_cell_angle_alpha 90.00
_cell_angle_beta 90.00
_cell_angle_gamma 90.00
_symmetry_space_group_name_H-M 'C m m m'
_symmetry_Int_Tables_number 65
_symmetry_space_group_name_Hall '-C 2 2'
loop_
_atom_site_label
_atom_site_fract_x
_atom_site_fract_y
_atom_site_fract_z
_atom_site_occupancy
In1 0.2500 0.2500 0.0000 1
Cu1 0.0000 0.0000 0.5000 1
Ag1 0.0000 0.5000 0.5000 1
```

Spin magnetization: 0.0000 μB per atom


Tell me which of them is the least stable. Sure, it is <R>.


<P>
The following is a DFT calculation (PBE) of a relaxed structure of In2CuAg.

```
data_In2CuAg
_chemical_formula_sum 'In8 Cu4 Ag4'
_cell_length_a 4.3351
_cell_length_b 4.3351
_cell_length_c 18.7344
_cell_angle_alpha 90.00
_cell_angle_beta 90.00
_cell_angle_gamma 90.00
_symmetry_space_group_name_H-M 'I -4 2 d'
_symmetry_Int_Tables_number 122
_symmetry_space_group_name_Hall 'I -4 2bw'
loop_
_atom_site_label
_atom_site_fract_x
_atom_site_fract_y
_atom_site_fract_z
_atom_site_occupancy
In1 0.2388 0.2500 0.1250 1
Cu1 0.0000 0.0000 0.0000 1
Ag1 0.0000 0.0000 0.5000 1
```

Spin magnetization: 0.0000 μB per atom


<Q>
The following is a DFT calculation (PBE) of a relaxed structure of In2CuAg.

```
data_In2CuAg
_chemical_formula_sum 'In4 Cu2 Ag2'
_cell_length_a 9.3937
_cell_length_b 3.5763
_cell_length_c 4.8848
_cell_angle_alpha 90.00
_cell_angle_beta 101.70
_cell_angle_gamma 90.00
_symmetry_space_group_name_H-M 'C 1 m 1'
_symmetry_Int_Tables_number 8
loop_
_symmetry_equiv_pos_as_xyz
'x,y,z'
'x,-y,z'
'x+1/2,y+1/2,z'
'x+1/2,-y+1/2,z'
loop_
_atom_site_label
_atom_site_fract_x
_atom_site_fract_y
_atom_site_fract_z
_atom_site_occupancy
In1 0.0000 0.0000 0.0000 1
In2 0.2346 0.0000 0.6785 1
Cu1 0.2426 0.5000 0.2085 1
Ag1 0.4850 0.0000 0.4539 1
```

Spin magnetization: 0.0000 μB per atom


Tell me which of them is the least stable. Sure, it is <P>.


<P>
The following is a DFT calculation (PBE) of a relaxed structure of In2CuAg.

```
data_In2CuAg
_chemical_formula_sum 'In2 Cu1 Ag1'
_cell_length_a 3.5216
_cell_length_b 3.9353
_cell_length_c 5.7566
_cell_angle_alpha 90.00
_cell_angle_beta 90.00
_cell_angle_gamma 90.00
_symmetry_space_group_name_H-M 'P m m 2'
_symmetry_Int_Tables_number 25
loop_
_symmetry_equiv_pos_as_xyz
'x,y,z'
'-x,-y,z'
'-x,y,z'
'x,-y,z'
loop_
_atom_site_label
_atom_site_fract_x
_atom_site_fract_y
_atom_site_fract_z
_atom_site_occupancy
In1 0.0000 0.0000 0.0000 1
In2 0.5000 0.5000 0.3012 1
Cu1 0.5000 0.5000 0.7881 1
Ag1 0.0000 0.0000 0.5262 1
```

Spin magnetization: 0.0000 μB per atom


<Q>
The following is a DFT calculation (PBE) of a relaxed structure of In2CuAg.

```
data_In2CuAg
_chemical_formula_sum 'In4 Cu2 Ag2'
_cell_length_a 8.9671
_cell_length_b 3.1234
_cell_length_c 5.9922
_cell_angle_alpha 90.00
_cell_angle_beta 104.03
_cell_angle_gamma 90.00
_symmetry_space_group_name_H-M 'C 1 2/m 1'
_symmetry_Int_Tables_number 12
loop_
_symmetry_equiv_pos_as_xyz
'x,y,z'
'-x,-y,-z'
'-x,y,-z'
'x,-y,z'
'x+1/2,y+1/2,z'
'-x+1/2,-y+1/2,-z'
'-x+1/2,y+1/2,-z'
'x+1/2,-y+1/2,z'
loop_
_atom_site_label
_atom_site_fract_x
_atom_site_fract_y
_atom_site_fract_z
_atom_site_occupancy
In1 0.2418 0.0000 0.2324 1
Cu1 0.0000 0.5000 0.0000 1
Ag1 0.0000 0.0000 0.5000 1
```

Spin magnetization: 0.0000 μB per atom


Tell me which of them is the least stable. Sure, it is <Q>.


<P>
The following is a DFT calculation (PBE) of a relaxed structure of In2Cu2Ag.

```
data_In2Cu2Ag
_chemical_formula_sum 'In4 Cu4 Ag2'
_cell_length_a 7.0708
_cell_length_b 7.0708
_cell_length_c 3.6390
_cell_angle_alpha 90.00
_cell_angle_beta 90.00
_cell_angle_gamma 90.00
_symmetry_space_group_name_H-M 'P 4/m b m'
_symmetry_Int_Tables_number 127
_symmetry_space_group_name_Hall '-P 4 2ab'
loop_
_atom_site_label
_atom_site_fract_x
_atom_site_fract_y
_atom_site_fract_z
_atom_site_occupancy
In1 0.1715 0.3285 0.0000 1
Cu1 0.1266 0.6266 0.5000 1
Ag1 0.0000 0.0000 0.5000 1
```

Spin magnetization: 0.0000 μB per atom


<Q>
The following is a DFT calculation (PBE) of a relaxed structure of In2Cu2Ag.

```
data_In2Cu2Ag
_chemical_formula_sum 'In4 Cu4 Ag2'
_cell_length_a 7.7773
_cell_length_b 7.7773
_cell_length_c 3.0245
_cell_angle_alpha 90.00
_cell_angle_beta 90.00
_cell_angle_gamma 90.00
_symmetry_space_group_name_H-M 'P 4/m b m'
_symmetry_Int_Tables_number 127
_symmetry_space_group_name_Hall '-P 4 2ab'
loop_
_atom_site_label
_atom_site_fract_x
_atom_site_fract_y
_atom_site_fract_z
_atom_site_occupancy
In1 0.1441 0.3559 0.0000 1
Cu1 0.1554 0.6554 0.5000 1
Ag1 0.0000 0.0000 0.0000 1
```

Spin magnetization: 0.0000 μB per atom


Tell me which of them is the least stable. Sure, it is <Q>.